Computed, not measured: a relaxed structure of Dy2LuS at the PBE level of DFT.

Calculated values
E_form (uncorrected) in kJ/mol of atoms: -67.53
Raw total energy in eV per formula unit: -20.65
Total magnetization in μB per cell: 0.00
Space-group type: R-3m, No. 166

Cell: 3.641 3.641 10.108 Å, 79.62 79.62 60.00°
Sites, in units of the cell vectors:
Lu 0.000 0.000 0.000
Dy 0.111 0.111 0.667
S 0.500 0.500 0.500
Dy 0.889 0.889 0.333